Record 1
Material: BeGeAsO6
Method: DFT, PBE
State: optimized geometry

Geometry as POSCAR:
```
BeGeAsO6
1.0
4.700 0.000 0.000
-2.350 4.071 0.000
0.000 0.000 8.270
Be Ge As O
2 2 2 12
direct
0.333 0.667 0.250
0.667 0.333 0.750
0.000 0.000 0.000
0.000 0.000 0.500
0.333 0.667 0.750
0.667 0.333 0.250
0.004 0.346 0.130
0.004 0.659 0.370
0.341 0.346 0.370
0.341 0.996 0.130
0.346 0.004 0.630
0.346 0.341 0.870
0.654 0.659 0.130
0.654 0.996 0.370
0.659 0.004 0.870
0.659 0.654 0.630
0.996 0.341 0.630
0.996 0.654 0.870
```

Values from the calculation:
Its crystal system is trigonal. The calculation puts the total magnetic moment at 0.112 μB/atom. The space group is P-31c, No. 163. The formation energy without anion corrections comes out at -1.33 eV/atom. The value obtained for the density of states at the Fermi level is 7.844 states/eV per cell. Its density is 5.30 g cm⁻³.


Record 2
Material: BeGeAs2Pb
Method: DFT, PBE
State: optimized geometry

Geometry as POSCAR:
```
BeGeAs2Pb
1.0
5.431 0.000 0.000
0.000 5.431 0.000
0.000 0.000 5.454
Be Ge As Pb
1 1 2 1
direct
0.000 0.000 0.000
0.500 0.500 0.000
0.000 0.500 0.500
0.500 0.000 0.500
0.500 0.500 0.500
```

Values from the calculation:
Its crystal system is tetragonal. The value obtained for the energy of formation is 1.588 eV/atom. The calculation puts the total magnetic moment at 0.000 μB/atom. The space group is P4/mmm, No. 123. The value obtained for the density of states at the Fermi level is 5.769 states/eV per cell. Its density is 4.53 g cm⁻³.


Record 3
Material: RbBeGeAs2
Method: DFT, PBE
State: optimized geometry

Geometry as POSCAR:
```
RbBeGeAs2
1.0
2.639 -7.633 0.000
2.639 7.633 0.000
0.000 0.000 6.400
Rb Be Ge As
2 2 2 4
direct
0.250 0.750 0.767
0.750 0.250 0.233
0.250 0.250 0.500
0.750 0.750 0.500
0.000 0.000 0.000
0.500 0.500 0.000
0.097 0.903 0.311
0.403 0.597 0.311
0.597 0.403 0.689
0.903 0.097 0.689
```

Values from the calculation:
Its crystal system is orthorhombic. The value obtained for the energy of formation is -0.035 eV/atom. The calculation puts the total magnetic moment at 0.000 μB/atom. The space group is Cmme, No. 67. The value obtained for the density of states at the Fermi level is 3.194 states/eV per cell. Its density is 4.08 g cm⁻³.


Record 4
Material: Be2ReGeAs
Method: DFT, PBE
State: optimized geometry

Geometry as POSCAR:
```
Be2ReGeAs
1.0
4.102 0.000 0.000
0.000 4.102 0.000
0.000 0.000 4.856
Be Re Ge As
2 1 1 1
direct
0.000 0.500 0.000
0.500 0.000 0.000
0.000 0.000 0.500
0.000 0.000 0.000
0.500 0.500 0.500
```

Values from the calculation:
Its crystal system is tetragonal. The value obtained for the energy of formation is 1.164 eV/atom. The calculation puts the total magnetic moment at 0.104 μB/atom. The space group is P4/mmm, No. 123. The value obtained for the density of states at the Fermi level is 3.943 states/eV per cell. Its density is 7.15 g cm⁻³.


Record 5
Material: BeGe2SbAs
Method: DFT, PBE
State: optimized geometry

Geometry as POSCAR:
```
BeGe2SbAs
1.0
5.338 0.000 0.000
0.000 5.338 0.000
0.000 0.000 5.257
Be Ge Sb As
1 2 1 1
direct
0.000 0.000 0.000
0.000 0.500 0.500
0.500 0.000 0.500
0.500 0.500 0.500
0.500 0.500 0.000
```

Values from the calculation:
Its crystal system is tetragonal. The calculation puts the total magnetic moment at 0.000 μB/atom. The space group is P4/mmm, No. 123. The formation energy without anion corrections comes out at 1.42 eV/atom. The value obtained for the density of states at the Fermi level is 3.486 states/eV per cell. Its density is 3.89 g cm⁻³.


Record 6
Material: BeSiGe2As4
Method: DFT, PBE
State: optimized geometry

Geometry as POSCAR:
```
BeSiGe2As4
1.0
0.000 4.513 4.994
3.840 0.000 4.994
3.840 4.513 0.000
Be Si Ge As
1 1 2 4
direct
0.000 0.000 0.000
0.512 0.512 0.488
0.260 0.260 0.240
0.760 0.760 0.740
0.114 0.629 0.886
0.338 0.864 0.136
0.629 0.114 0.371
0.864 0.338 0.662
```

Values from the calculation:
Its crystal system is orthorhombic. The calculation puts the total magnetic moment at 0.000 μB/atom. The space group is Fmm2, No. 42. The formation energy without anion corrections comes out at 0.05 eV/atom. The value obtained for the density of states at the Fermi level is 2.859 states/eV per cell. Its density is 4.62 g cm⁻³.